SrPu2Ru | GGA-PBE | relaxed

Its density of states at the Fermi level is 12.73 states/eV/cell. The value obtained for the total energy is -39.19 eV for the cell shown. The polymorph energy (0 for the lowest one) comes out at 0 meV/atom. For the density, the calculation gives 10052 kg/m³. As for the formation energy: 0.108 eV/atom. The magnetization is 11.35 μB/f.u.

The structure belongs to space group P4/mmm (No. 123); the cell edges are 3.413, 3.413 and 9.595 Å and the angles 90.00°, 90.00° and 90.00°. The distinct sites, in fractional coordinates, are Sr at (0.000, 0.000, 0.000), Pu at (0.500, 0.500, 0.326) and Ru at (0.000, 0.000, 0.500).

Y7CoI12 | GGA-PBE | relaxed

Its density of states at the Fermi level is 11.52 states/eV/cell. The value obtained for the total energy is -285.68 eV for the cell shown. For the density, the calculation gives 4717 kg/m³. The magnetization is 0.00 μB/f.u. Its uncorrected formation energy is -2342 kJ/mol of formula units.

The structure belongs to space group R-3 (No. 148, hexagonal axes); the cell edges are 15.6517, 15.6517 and 10.9716 Å and the angles 90.00°, 90.00° and 120.00°. The distinct sites, in fractional coordinates, are Y at (0.0000, 0.0000, 0.0000), Y at (0.0416, 0.8872, 0.3662), Co at (0.0000, 0.0000, 0.5000), I at (0.0190, 0.4323, 0.1563) and I at (0.0491, 0.8734, 0.8365).